(1)
## LiZnOs2 (GGA-PBE)

Data for an optimized crystal structure of LiZnOs2.

a = 5.050 Å, b = 8.448 Å, c = 2.640 Å
α = 90.00°, β = 90.00°, γ = 90.00°
Space group Cmmm (No. 65)
Inequivalent atoms, fractional coordinates:
Li  0.000  0.000  0.000 (multiplicity 2)
Zn  0.000  0.500  0.000 (multiplicity 2)
Os  0.250  0.250  0.500 (multiplicity 4)

Values from the calculation:
VASP energy ... -48.08 eV for the cell shown

---

(2)
## LiZnOs2 (GGA-PBE)

Data for an optimized crystal structure of LiZnOs2.

a = 8.745 Å, b = 2.719 Å, c = 4.759 Å
α = 90.00°, β = 96.80°, γ = 90.00°
Space group Cm (No. 8)
Inequivalent atoms, fractional coordinates:
Li  0.000  0.000  0.000 (multiplicity 2)
Zn  0.256  0.500  0.188 (multiplicity 2)
Os  0.240  0.000  0.689 (multiplicity 2)
Os  0.496  0.000  0.508 (multiplicity 2)

Values from the calculation:
VASP energy ... -49.98 eV for the cell shown

---

(3)
## LiZnOs (GGA-PBE)

Data for an optimized crystal structure of LiZnOs.

a = 4.702 Å, b = 8.273 Å, c = 4.506 Å
α = 90.00°, β = 107.52°, γ = 90.00°
Space group C2 (No. 5)
Inequivalent atoms, fractional coordinates:
Li  0.000  0.000  0.000 (multiplicity 2)
Li  0.000  0.328  0.000 (multiplicity 2)
Zn  0.000  0.136  0.500 (multiplicity 2)
Zn  0.000  0.471  0.500 (multiplicity 2)
Os  0.000  0.678  0.000 (multiplicity 2)
Os  0.000  0.799  0.500 (multiplicity 2)

Values from the calculation:
VASP energy ... -56.25 eV for the cell shown

---

(4)
## LiZnOs (GGA-PBE)

Data for an optimized crystal structure of LiZnOs.

a = 2.502 Å, b = 4.165 Å, c = 7.911 Å
α = 90.00°, β = 90.00°, γ = 90.00°
Space group Imm2 (No. 44)
Inequivalent atoms, fractional coordinates:
Li  0.000  0.000  0.000 (multiplicity 2)
Zn  0.000  0.000  0.331 (multiplicity 2)
Os  0.000  0.000  0.668 (multiplicity 2)

Values from the calculation:
VASP energy ... -27.83 eV for the cell shown

---

(5)
## LiZnOs (GGA-PBE)

Data for an optimized crystal structure of LiZnOs.

a = 4.518 Å, b = 4.779 Å, c = 5.020 Å
α = 106.60°, β = 103.96°, γ = 115.44°
Space group P-1 (No. 2)
Inequivalent atoms, fractional coordinates:
Li  0.142  0.139  0.266 (multiplicity 2)
Zn  0.261  0.768  0.530 (multiplicity 2)
Os  0.316  0.623  0.999 (multiplicity 2)

Values from the calculation:
VASP energy ... -28.26 eV for the cell shown

---

(6)
## LiZn2Os (GGA-PBE)

Data for an optimized crystal structure of LiZn2Os.

a = 2.580 Å, b = 4.066 Å, c = 5.369 Å
α = 90.00°, β = 97.82°, γ = 90.00°
Space group P2/m (No. 10)
Inequivalent atoms, fractional coordinates:
Li  0.000  0.000  0.000 (multiplicity 1)
Zn  0.460  0.500  0.255 (multiplicity 2)
Os  0.000  0.000  0.500 (multiplicity 1)

Values from the calculation:
VASP energy ... -15.59 eV for the cell shown